# BaMgCrF7

BaMgCrF7 at its PBEsol-relaxed geometry (meta-GGA SCAN, the Alexandria database).

The structure in POSCAR format:
```
BaMgCrF7
1.0
5.5038 0.0000 0.0000
0.0000 9.7903 0.0000
-0.4985 0.0000 9.5201
Ba Mg Cr F
4 4 4 28
Direct
0.2384 0.1789 0.9997
0.2384 0.3211 0.4997
0.7616 0.6789 0.5003
0.7616 0.8211 0.0003
0.1950 0.6043 0.8113
0.1950 0.8957 0.3113
0.8050 0.1043 0.6887
0.8050 0.3957 0.1887
0.3060 0.6145 0.1875
0.3060 0.8855 0.6875
0.6940 0.1145 0.3125
0.6940 0.3855 0.8125
0.0258 0.7120 0.2505
0.0258 0.7880 0.7505
0.1160 0.5424 0.6256
0.1160 0.9576 0.1256
0.1324 0.0467 0.6310
0.1324 0.4533 0.1310
0.2401 0.6910 0.0023
0.2401 0.8090 0.5023
0.3855 0.5448 0.3662
0.3855 0.9552 0.8662
0.3909 0.0524 0.3749
0.3909 0.4476 0.8749
0.4761 0.7209 0.7472
0.4761 0.7791 0.2472
0.5239 0.2209 0.7528
0.5239 0.2791 0.2528
0.6091 0.5524 0.1251
0.6091 0.9476 0.6251
0.6145 0.0448 0.1338
0.6145 0.4552 0.6338
0.7599 0.1910 0.4977
0.7599 0.3090 0.9977
0.8676 0.5467 0.8690
0.8676 0.9533 0.3690
0.8840 0.0424 0.8744
0.8840 0.4576 0.3744
0.9742 0.2120 0.2495
0.9742 0.2880 0.7495
```

Output
**E_tot**: -12.443 eV/atom
**Space group**: P2_1/c